Entry from the Alexandria database: a relaxed structure of USi2Ir2 (PBEsol).

The uncorrected formation energy comes out at -3.8 eV/f.u.

Geometry as extended XYZ:
```
10
Lattice="3.985 0.000 0.000 0.000 3.985 0.000 0.000 0.000 9.997" Properties=species:S:1:pos:R:3 pbc="T T T"
U 0.000 0.000 0.000
U 1.993 1.993 4.998
Si 0.000 0.000 3.840
Si 0.000 0.000 6.157
Si 1.993 1.993 1.158
Si 1.993 1.993 8.839
Ir 0.000 1.993 2.499
Ir 0.000 1.993 7.498
Ir 1.993 0.000 2.499
Ir 1.993 0.000 7.498
```



Entry from the Alexandria database: a relaxed structure of ZrSc2In (PBEsol).

Its formation energy from the elements is -236 meV/atom.

Geometry as extended XYZ:
```
4
Lattice="3.298 0.000 0.000 0.000 4.308 0.000 0.000 0.000 6.230" Properties=species:S:1:pos:R:3 pbc="T T T"
Zr 0.000 0.000 0.000
Sc 0.000 0.000 3.154
Sc 1.649 2.154 4.762
In 1.649 2.154 1.601
```